(1)
PBE-GGA ScFe2W, optimized geometry; final energy = -8.922 eV/atom; DOS(E_F) = 3.98 states/eV per cell; total magnetic moment = 2.52 μB/f.u.; crystal system = orthorhombic; E_form = 0.13 eV per atom
1.0
-2.3878 0.2132 4.6471
-3.4580 -2.1778 3.2622
1.7525 -2.5308 3.0150
Fe Sc W
2 1 1
direct
0.0034 0.0034 0.9965
0.7305 0.7305 0.7695
0.4967 0.4967 0.5032
0.2693 0.2693 0.2308

(2)
PBE-GGA EuYBi2, optimized geometry; final energy = -6.828 eV/atom; DOS(E_F) = 4.07 states/eV per cell; total magnetic moment = 7.10 μB/f.u.; crystal system = tetragonal; E_form = -0.70 eV per atom
1.0
3.8443 0.0000 0.0000
0.0000 3.8443 0.0000
0.0000 0.0000 8.4762
Eu Y Bi
1 1 2
direct
0.5000 0.5000 0.5000
0.5000 0.5000 0.0000
0.0000 0.0000 0.7648
0.0000 0.0000 0.2352

(3)
PBE-GGA NaLa2I, optimized geometry; final energy = -3.358 eV/atom; DOS(E_F) = 1.99 states/eV per cell; total magnetic moment = 0.00 μB/f.u.; crystal system = cubic; raw formation energy = -0.177 eV per atom
1.0
0.0000 4.0164 4.0164
4.0164 0.0000 4.0164
4.0164 4.0164 0.0000
I Na La
1 1 2
direct
0.5000 0.5000 0.5000
0.0000 0.0000 0.0000
0.2500 0.2500 0.2500
0.7500 0.7500 0.7500